Here is a relaxed MgZnHg2 crystal from Alexandria via LeMat-Bulk. Energies are from PBE.

The structure in POSCAR format:
```
MgZnHg2
1.0
-2.231 -3.464 2.736
-3.070 -3.239 -2.134
1.331 -4.743 -0.449
Hg Mg Zn
2 1 1
Direct
0.000 0.000 0.000
0.750 0.750 0.750
0.500 0.500 0.500
0.250 0.250 0.250
```

Summary:
The calculation puts the density of states at the Fermi level at 2.04 states/eV/cell. The energy of formation comes out at 0.04 eV/atom. The value obtained for the spin magnetization is 0.00 μB per formula unit.